# Na2Zn2Se3

A relaxed structure of Na2Zn2Se3 (PBE-GGA, Alexandria via LeMat-Bulk).

Values from the calculation:
Energy relative to the lowest polymorph listed for this composition, kJ/mol of formula units: 28
Space group: P4_32_12, No. 96
Spin magnetization, Bohr magnetons per cell: 0.0
Formation energy (no corrections), eV/atom: -0.833

Unit cell a=7.417 b=7.417 c=12.176 alpha=90.00 beta=90.00 gamma=90.00
Sites, in units of the cell vectors:
1 Na 0.834 0.559 0.692
2 Na 0.941 0.334 0.442
3 Na 0.441 0.166 0.808
4 Na 0.166 0.441 0.192
5 Na 0.666 0.059 0.058
6 Na 0.059 0.666 0.942
7 Na 0.334 0.941 0.558
8 Na 0.559 0.834 0.308
9 Zn 0.307 0.472 0.616
10 Zn 0.972 0.193 0.866
11 Zn 0.693 0.528 0.116
12 Zn 0.807 0.028 0.634
13 Zn 0.472 0.307 0.384
14 Zn 0.028 0.807 0.366
15 Zn 0.193 0.972 0.134
16 Zn 0.528 0.693 0.884
17 Se 0.922 0.774 0.171
18 Se 0.226 0.078 0.329
19 Se 0.789 0.789 0.500
20 Se 0.211 0.211 0.000
21 Se 0.726 0.422 0.921
22 Se 0.711 0.289 0.250
23 Se 0.078 0.226 0.671
24 Se 0.274 0.578 0.421
25 Se 0.422 0.726 0.079
26 Se 0.578 0.274 0.579
27 Se 0.774 0.922 0.829
28 Se 0.289 0.711 0.750

=====

# Na2Zn3Se4

A relaxed structure of Na2Zn3Se4 (PBE-GGA, Alexandria via LeMat-Bulk).

Values from the calculation:
Space group: Ibam, No. 72
Spin magnetization, Bohr magnetons per cell: 0.0
Formation energy (no corrections), eV/atom: -0.772

Unit cell a=9.079 b=9.079 c=9.079 alpha=139.81 beta=110.86 gamma=83.11
Sites, in units of the cell vectors:
1 Se 0.007 0.867 0.599
2 Se 0.768 0.367 0.860
3 Se 0.507 0.908 0.140
4 Se 0.268 0.408 0.401
5 Se 0.732 0.592 0.599
6 Se 0.493 0.092 0.860
7 Se 0.232 0.633 0.140
8 Se 0.993 0.133 0.401
9 Zn 0.033 0.250 0.783
10 Zn 0.467 0.250 0.217
11 Zn 0.967 0.750 0.217
12 Zn 0.750 0.250 0.500
13 Zn 0.533 0.750 0.783
14 Zn 0.250 0.750 0.500
15 Na 0.374 0.246 0.620
16 Na 0.126 0.746 0.871
17 Na 0.874 0.254 0.129
18 Na 0.626 0.754 0.380

=====

# Na3ZnSe2

A relaxed structure of Na3ZnSe2 (PBE-GGA, Alexandria via LeMat-Bulk).

Values from the calculation:
Space group: Ibam, No. 72
Spin magnetization, Bohr magnetons per cell: 0.0
N(E_F), states/eV/f.u.: 3.89
Formation energy (no corrections), eV/atom: -0.709

Unit cell a=6.896 b=7.150 c=8.374 alpha=115.27 beta=114.32 gamma=90.00
Sites, in units of the cell vectors:
1 Na 0.768 0.518 0.535
2 Na 0.768 0.018 0.535
3 Na 0.500 0.750 0.000
4 Na 0.232 0.482 0.465
5 Na 0.232 0.982 0.465
6 Na 0.500 0.250 0.000
7 Se 0.401 0.630 0.260
8 Se 0.140 0.870 0.740
9 Se 0.599 0.370 0.740
10 Se 0.860 0.130 0.260
11 Zn 0.000 0.500 0.000
12 Zn 0.000 0.000 0.000

=====

# NaZn2Se2

A relaxed structure of NaZn2Se2 (PBE-GGA, Alexandria via LeMat-Bulk).

Values from the calculation:
Energy relative to the lowest polymorph listed for this composition, kJ/mol of formula units: 0
Space group: I4/mmm, No. 139
Spin magnetization, Bohr magnetons per cell: 0.0
N(E_F), states/eV/f.u.: 1.59
Formation energy (no corrections), eV/atom: -0.448

Unit cell a=4.366 b=4.366 c=7.247 alpha=72.47 beta=72.47 gamma=90.00
Sites, in units of the cell vectors:
1 Zn 0.750 0.250 0.500
2 Zn 0.250 0.750 0.500
3 Se 0.643 0.643 0.714
4 Se 0.357 0.357 0.286
5 Na 0.000 0.000 0.000

=====

Q: Which value of spin magnetization does entry 4 give?
A: 0.0 Bohr magnetons per cell